No. 1
The following is a DFT calculation (SCAN) of Ba2IrPb at its PBEsol-relaxed geometry.

POSCAR file:
```
Ba2IrPb
1.0
-1.916 2.722 5.966
1.916 -2.722 5.966
1.916 2.722 -5.966
Ba Ir Pb
2 1 1
Direct
0.000 0.000 0.000 Ba
0.691 0.191 0.500 Ba
0.224 0.724 0.500 Ir
0.385 0.385 0.000 Pb
```

Results
DFT formation energy: -0.90 eV per formula unit
uncorrected energy: -226.88 eV/f.u.

No. 2
The following is a DFT calculation (SCAN) of TaSe2N2 at its PBEsol-relaxed geometry.

POSCAR file:
```
TaSe2N2
1.0
3.821 0.000 0.000
0.000 3.821 0.000
0.000 0.000 4.818
Ta Se N
1 2 2
Direct
0.000 0.000 0.000 Ta
0.500 0.500 0.000 Se
0.500 0.500 0.500 Se
0.000 0.500 0.500 N
0.500 0.000 0.500 N
```

Results
uncorrected energy: -116.79 eV/f.u.
energy relative to the elements, uncorrected: 1.7065 eV per atom

No. 3
The following is a DFT calculation (SCAN) of LiCa2Mg at its PBEsol-relaxed geometry.

POSCAR file:
```
LiCa2Mg
1.0
6.103 -1.869 0.000
6.103 1.869 0.000
-2.123 0.000 5.302
Li Ca Mg
1 2 1
Direct
0.000 0.000 0.000 Li
0.544 0.544 0.537 Ca
0.756 0.756 0.206 Ca
0.302 0.302 0.744 Mg
```

Results
DFT formation energy: -0.08 eV per formula unit
uncorrected energy: -26.77 eV/f.u.

No. 4
The following is a DFT calculation (SCAN) of K2NiH12S2O14 at its PBEsol-relaxed geometry.

POSCAR file:
```
K2NiH12S2O14
1.0
6.111 0.000 0.000
0.000 11.968 0.000
-2.190 0.000 8.559
K Ni H S O
4 2 24 4 28
Direct
0.161 0.159 0.364 K
0.161 0.341 0.864 K
0.839 0.659 0.136 K
0.839 0.841 0.636 K
0.500 0.000 0.000 Ni
0.500 0.500 0.500 Ni
0.160 0.556 0.603 H
0.160 0.944 0.103 H
0.171 0.645 0.471 H
0.171 0.855 0.971 H
0.180 0.086 0.785 H
0.180 0.414 0.285 H
0.416 0.124 0.749 H
0.416 0.376 0.249 H
0.419 0.598 0.226 H
0.419 0.902 0.726 H
0.494 0.692 0.358 H
0.494 0.808 0.858 H
0.506 0.192 0.142 H
0.506 0.308 0.642 H
0.581 0.098 0.274 H
0.581 0.402 0.774 H
0.584 0.624 0.751 H
0.584 0.876 0.251 H
0.820 0.586 0.715 H
0.820 0.914 0.215 H
0.829 0.145 0.029 H
0.829 0.355 0.529 H
0.840 0.056 0.897 H
0.840 0.444 0.397 H
0.221 0.633 0.910 S
0.221 0.867 0.410 S
0.779 0.133 0.590 S
0.779 0.367 0.090 S
0.074 0.732 0.912 O
0.074 0.768 0.412 O
0.107 0.559 0.778 O
0.107 0.941 0.278 O
0.201 0.565 0.501 O
0.201 0.935 0.001 O
0.251 0.570 0.058 O
0.251 0.930 0.558 O
0.336 0.114 0.834 O
0.336 0.386 0.334 O
0.445 0.671 0.889 O
0.445 0.829 0.389 O
0.469 0.115 0.171 O
0.469 0.385 0.671 O
0.531 0.615 0.329 O
0.531 0.885 0.829 O
0.555 0.171 0.611 O
0.555 0.329 0.111 O
0.664 0.614 0.666 O
0.664 0.886 0.166 O
0.749 0.070 0.442 O
0.749 0.430 0.942 O
0.799 0.065 0.999 O
0.799 0.435 0.499 O
0.893 0.059 0.722 O
0.893 0.441 0.222 O
0.926 0.232 0.588 O
0.926 0.268 0.088 O
```

Results
uncorrected energy: -224.65 eV/f.u.

No. 5
The following is a DFT calculation (SCAN) of Sr2Hg2Pb at its PBEsol-relaxed geometry.

POSCAR file:
```
Sr2Hg2Pb
1.0
-3.083 3.083 4.456
3.083 -3.083 4.456
3.083 3.083 -4.456
Sr Hg Pb
2 2 1
Direct
0.250 0.750 0.500 Sr
0.750 0.250 0.500 Sr
0.152 0.152 0.000 Hg
0.848 0.848 0.000 Hg
0.500 0.500 0.000 Pb
```

Results
DFT formation energy: -2.33 eV per formula unit
uncorrected energy: -259.00 eV/f.u.

No. 6
The following is a DFT calculation (SCAN) of NiSbTe2P at its PBEsol-relaxed geometry.

POSCAR file:
```
NiSbTe2P
1.0
4.944 0.000 0.000
0.000 4.944 0.000
0.000 0.000 4.800
Ni Sb Te P
1 1 2 1
Direct
0.000 0.000 0.000 Ni
0.000 0.000 0.500 Sb
0.000 0.500 0.000 Te
0.500 0.000 0.000 Te
0.500 0.500 0.500 P
```

Results
uncorrected energy: -135.09 eV/f.u.
energy relative to the elements, uncorrected: 0.6493 eV per atom

No. 7
The following is a DFT calculation (SCAN) of SbAu at its PBEsol-relaxed geometry.

POSCAR file:
```
SbAu
1.0
4.538 -1.980 0.000
4.538 1.980 0.000
-2.197 0.000 8.044
Sb Au
3 3
Direct
0.000 0.000 0.000 Sb
0.079 0.079 0.630 Sb
0.771 0.771 0.192 Sb
0.393 0.393 0.778 Au
0.432 0.432 0.388 Au
0.753 0.753 0.525 Au
```

Results
uncorrected energy: -106.41 eV/f.u.
energy relative to the elements, uncorrected: 0.0023 eV per atom

No. 8
The following is a DFT calculation (SCAN) of Pr3Pd4 at its PBEsol-relaxed geometry.

POSCAR file:
```
Pr3Pd4
1.0
6.798 3.925 1.922
-6.798 3.925 1.922
0.000 -7.849 1.922
Pr Pd
6 8
Direct
0.028 0.405 0.282 Pr
0.282 0.028 0.405 Pr
0.405 0.282 0.028 Pr
0.595 0.718 0.972 Pr
0.718 0.972 0.595 Pr
0.972 0.595 0.718 Pr
0.000 0.000 0.000 Pd
0.056 0.220 0.554 Pd
0.220 0.554 0.056 Pd
0.446 0.944 0.780 Pd
0.500 0.500 0.500 Pd
0.554 0.056 0.220 Pd
0.780 0.446 0.944 Pd
0.944 0.780 0.446 Pd
```

Results
DFT formation energy: -6.02 eV per formula unit
uncorrected energy: -267.10 eV/f.u.